[1]
{
  "formula": "Mg12ZnHg3",
  "functional": "PBE",
  "state": "optimized geometry",
  "total_magnetization_mub_per_fu": 0.00,
  "delta_e_f_kj_per_mol_atoms": -10.8,
  "space_group": "P4/mmm",
  "e_tot_ev_per_cell": -23.102,
  "cell": [[-0.408, 0.631, 4.388], [4.168, -1.447, 0.596], [5.806, 16.002, -1.762]],
  "species": ["Mg", "Mg", "Mg", "Mg", "Mg", "Mg", "Mg", "Mg", "Mg", "Mg", "Mg", "Mg", "Zn", "Hg", "Hg", "Hg"],
  "fractional_positions": [[0.500, 0.500, 0.000], [0.500, 0.500, 0.247], [0.500, 0.500, 0.500], [0.500, 0.500, 0.753], [0.500, 0.000, 0.120], [0.500, 0.000, 0.374], [0.500, 0.000, 0.626], [0.500, 0.000, 0.880], [0.000, 0.500, 0.120], [0.000, 0.500, 0.374], [0.000, 0.500, 0.626], [0.000, 0.500, 0.880], [0.000, 0.000, 0.000], [0.000, 0.000, 0.247], [0.000, 0.000, 0.500], [0.000, 0.000, 0.753]]
}



[2]
{
  "formula": "MgZnHg",
  "functional": "PBE",
  "state": "optimized geometry",
  "total_magnetization_mub_per_fu": 0.00,
  "delta_e_f_kj_per_mol_atoms": -5.9,
  "space_group": "P-1",
  "polymorph_energy_mev_per_atom": 31,
  "e_tot_ev_per_cell": -6.707,
  "cell": [[4.844, 0.011, -0.698], [2.436, 4.184, -0.719], [-1.395, -0.766, 6.304]],
  "species": ["Mg", "Mg", "Zn", "Zn", "Hg", "Hg"],
  "fractional_positions": [[0.683, 0.184, 0.324], [0.317, 0.816, 0.676], [0.696, 0.195, 0.838], [0.304, 0.805, 0.162], [0.004, 0.503, 0.751], [0.996, 0.497, 0.249]]
}



[3]
{
  "formula": "MgZnHg3",
  "functional": "PBE",
  "state": "optimized geometry",
  "total_magnetization_mub_per_fu": 0.00,
  "delta_e_f_kj_per_mol_atoms": -1.6,
  "space_group": "Ama2",
  "polymorph_energy_mev_per_atom": 0,
  "e_tot_ev_per_cell": -7.711,
  "cell": [[4.720, 0.000, 0.000], [0.000, 5.546, -1.958], [0.000, -0.024, 8.766]],
  "species": ["Mg", "Mg", "Zn", "Zn", "Hg", "Hg", "Hg", "Hg", "Hg", "Hg"],
  "fractional_positions": [[0.250, 0.094, 0.740], [0.750, 0.355, 0.260], [0.250, 0.528, 0.084], [0.750, 0.443, 0.916], [0.750, 0.937, 0.869], [0.750, 0.828, 0.241], [0.750, 0.239, 0.561], [0.250, 0.587, 0.759], [0.250, 0.069, 0.131], [0.250, 0.678, 0.439]]
}



[4]
{
  "formula": "Mg2Zn2Hg",
  "functional": "PBE",
  "state": "optimized geometry",
  "total_magnetization_mub_per_fu": 0.00,
  "delta_e_f_kj_per_mol_atoms": -7.9,
  "space_group": "C2/m",
  "polymorph_energy_mev_per_atom": 0,
  "e_tot_ev_per_cell": -12.899,
  "cell": [[4.505, 0.000, 0.000], [2.252, 5.017, 0.354], [2.252, 1.319, 8.742]],
  "species": ["Mg", "Mg", "Mg", "Mg", "Zn", "Zn", "Zn", "Zn", "Hg", "Hg"],
  "fractional_positions": [[0.334, 0.265, 0.067], [0.552, 0.249, 0.647], [0.666, 0.735, 0.933], [0.448, 0.751, 0.353], [0.960, 0.201, 0.878], [0.113, 0.390, 0.384], [0.040, 0.799, 0.122], [0.887, 0.610, 0.616], [0.767, 0.148, 0.318], [0.233, 0.852, 0.682]]
}



[5]
{
  "formula": "Mg4ZnHg3",
  "functional": "PBE",
  "state": "optimized geometry",
  "total_magnetization_mub_per_fu": 0.00,
  "delta_e_f_kj_per_mol_atoms": -16.7,
  "space_group": "P4/mmm",
  "e_tot_ev_per_cell": -9.939,
  "cell": [[-1.328, 2.340, -2.010], [-0.741, -2.366, -2.265], [-13.034, -1.970, 6.322]],
  "species": ["Mg", "Mg", "Mg", "Mg", "Zn", "Hg", "Hg", "Hg"],
  "fractional_positions": [[0.000, 0.000, 0.888], [0.000, 0.000, 0.112], [0.000, 0.000, 0.369], [0.000, 0.000, 0.631], [0.500, 0.500, 0.000], [0.500, 0.500, 0.239], [0.500, 0.500, 0.500], [0.500, 0.500, 0.761]]
}



[6]
{
  "formula": "Mg3ZnHg3",
  "functional": "PBE",
  "state": "optimized geometry",
  "total_magnetization_mub_per_fu": 0.00,
  "delta_e_f_kj_per_mol_atoms": -12.0,
  "space_group": "C2/m",
  "polymorph_energy_mev_per_atom": 0,
  "e_tot_ev_per_cell": -15.672,
  "cell": [[6.768, -0.001, -0.006], [0.015, 6.768, -0.006], [-0.004, -0.004, 6.589]],
  "species": ["Mg", "Mg", "Mg", "Mg", "Mg", "Mg", "Zn", "Zn", "Hg", "Hg", "Hg", "Hg", "Hg", "Hg"],
  "fractional_positions": [[0.997, 0.997, 0.760], [0.493, 0.007, 0.241], [0.007, 0.493, 0.241], [0.507, 0.993, 0.759], [0.993, 0.507, 0.759], [0.003, 0.003, 0.240], [0.264, 0.264, 0.986], [0.736, 0.736, 0.014], [0.275, 0.275, 0.516], [0.266, 0.734, 0.500], [0.734, 0.266, 0.500], [0.317, 0.683, 0.000], [0.683, 0.317, 0.000], [0.725, 0.725, 0.484]]
}



[7]
{
  "formula": "Mg2ZnHg2",
  "functional": "PBE",
  "state": "optimized geometry",
  "total_magnetization_mub_per_fu": 0.00,
  "delta_e_f_kj_per_mol_atoms": -8.6,
  "space_group": "P4/mbm",
  "polymorph_energy_mev_per_atom": 11,
  "e_tot_ev_per_cell": -11.021,
  "cell": [[-6.019, 3.678, -1.962], [-3.743, -3.253, 5.386], [1.012, 2.997, 2.513]],
  "species": ["Mg", "Mg", "Mg", "Mg", "Zn", "Zn", "Hg", "Hg", "Hg", "Hg"],
  "fractional_positions": [[0.158, 0.658, 0.500], [0.658, 0.842, 0.500], [0.842, 0.342, 0.500], [0.342, 0.158, 0.500], [0.000, 0.000, 0.000], [0.500, 0.500, 0.000], [0.353, 0.853, 0.000], [0.853, 0.647, 0.000], [0.647, 0.147, 0.000], [0.147, 0.353, 0.000]]
}



[8]
{
  "formula": "Mg2ZnHg",
  "functional": "PBE",
  "state": "optimized geometry",
  "total_magnetization_mub_per_fu": 0.00,
  "delta_e_f_kj_per_mol_atoms": -14.5,
  "space_group": "P2_1/m",
  "polymorph_energy_mev_per_atom": 0,
  "e_tot_ev_per_cell": -10.732,
  "cell": [[-3.718, 2.921, 3.584], [-3.488, -3.141, -1.059], [2.928, -4.242, 2.937]],
  "species": ["Mg", "Mg", "Mg", "Mg", "Zn", "Zn", "Hg", "Hg"],
  "fractional_positions": [[0.362, 0.250, 0.643], [0.638, 0.750, 0.357], [0.857, 0.250, 0.138], [0.143, 0.750, 0.862], [0.363, 0.250, 0.138], [0.637, 0.750, 0.862], [0.853, 0.250, 0.646], [0.147, 0.750, 0.354]]
}



[9]
{
  "formula": "Mg16Zn12Hg",
  "functional": "PBE",
  "state": "optimized geometry",
  "total_magnetization_mub_per_fu": 0.00,
  "delta_e_f_kj_per_mol_atoms": -8.0,
  "space_group": "Cm",
  "e_tot_ev_per_cell": -43.496,
  "cell": [[8.022, -0.003, -3.255], [-3.963, 6.975, -3.255], [-0.002, -0.004, 9.834]],
  "species": ["Mg", "Mg", "Mg", "Mg", "Mg", "Mg", "Mg", "Mg", "Mg", "Mg", "Mg", "Mg", "Mg", "Mg", "Mg", "Mg", "Zn", "Zn", "Zn", "Zn", "Zn", "Zn", "Zn", "Zn", "Zn", "Zn", "Zn", "Zn", "Hg"],
  "fractional_positions": [[0.378, 0.378, 0.365], [0.006, 0.006, 0.001], [0.987, 0.987, 0.690], [0.257, 0.257, 0.638], [0.650, 0.410, 0.996], [0.588, 0.241, 0.583], [0.000, 0.739, 0.372], [0.006, 0.631, 0.007], [0.755, 0.359, 0.347], [0.385, 0.997, 0.698], [0.997, 0.385, 0.698], [0.359, 0.755, 0.347], [0.631, 0.006, 0.007], [0.739, 0.000, 0.372], [0.241, 0.588, 0.583], [0.410, 0.650, 0.996], [0.817, 0.817, 0.123], [0.597, 0.597, 0.795], [0.370, 0.182, 0.019], [0.814, 0.621, 0.669], [0.196, 0.004, 0.321], [0.398, 0.001, 0.187], [0.185, 0.802, 0.836], [0.802, 0.185, 0.836], [0.001, 0.398, 0.187], [0.004, 0.196, 0.321], [0.621, 0.814, 0.669], [0.182, 0.370, 0.019], [0.626, 0.626, 0.315]]
}



[10]
{
  "formula": "Mg5ZnHg6",
  "functional": "PBE",
  "state": "optimized geometry",
  "total_magnetization_mub_per_fu": 0.00,
  "delta_e_f_kj_per_mol_atoms": -15.9,
  "space_group": "P2/m",
  "e_tot_ev_per_cell": -13.038,
  "cell": [[-2.292, 3.078, -2.952], [-4.557, -5.407, -2.100], [-3.331, 0.205, 6.703]],
  "species": ["Mg", "Mg", "Mg", "Mg", "Mg", "Zn", "Hg", "Hg", "Hg", "Hg", "Hg", "Hg"],
  "fractional_positions": [[0.667, 0.500, 0.335], [0.337, 0.000, 0.672], [0.000, 0.500, 0.000], [0.663, 0.000, 0.328], [0.333, 0.500, 0.665], [0.000, 0.000, 0.000], [0.835, 0.753, 0.669], [0.835, 0.247, 0.669], [0.500, 0.252, 0.000], [0.500, 0.748, 0.000], [0.165, 0.753, 0.331], [0.165, 0.247, 0.331]]
}